Dy2PuPb9 | PBE | optimized geometry

Geometry as CIF:
```
data_Dy2PuPb9
_chemical_formula_sum 'Dy2 Pu1 Pb9'
_cell_length_a 4.8726
_cell_length_b 4.8726
_cell_length_c 14.6005
_cell_angle_alpha 90.00
_cell_angle_beta 90.00
_cell_angle_gamma 90.00
_space_group_name_H-M_alt 'P 4/m m m'
_space_group_IT_number 123
_space_group_name_Hall '-P 4 2'
loop_
_atom_site_label
_atom_site_fract_x
_atom_site_fract_y
_atom_site_fract_z
Dy1 0.0000 0.0000 0.1701
Pu1 0.0000 0.0000 0.5000
Pb1 0.0000 0.5000 0.0000
Pb2 0.0000 0.5000 0.3339
Pb3 0.5000 0.5000 0.1669
Pb4 0.5000 0.5000 0.5000
```

Output
**M_tot**: 5.87 μB per formula unit
**Volume**: 28.89 Å³/atom
**Final energy**: -59.83 eV/cell

ZnFe2Au | PBE | optimized geometry

Geometry as CIF:
```
data_ZnFe2Au
_chemical_formula_sum 'Zn4 Fe8 Au4'
_cell_length_a 6.9552
_cell_length_b 6.9552
_cell_length_c 5.0975
_cell_angle_alpha 90.00
_cell_angle_beta 90.00
_cell_angle_gamma 90.00
_space_group_name_H-M_alt 'I -4 2 d'
_space_group_IT_number 122
_space_group_name_Hall 'I -4 2bw'
loop_
_atom_site_label
_atom_site_fract_x
_atom_site_fract_y
_atom_site_fract_z
Zn1 0.0000 0.0000 0.0000
Fe1 0.2420 0.7500 0.1250
Au1 0.0000 0.0000 0.5000
```

Output
**M_tot**: 5.38 μB per formula unit
**Volume**: 15.41 Å³/atom
**Final energy**: -78.93 eV/cell

NaSiSeBr2 | PBE | optimized geometry

Geometry as CIF:
```
data_NaSiSeBr2
_chemical_formula_sum 'Na1 Si1 Se1 Br2'
_cell_length_a 5.3233
_cell_length_b 5.3233
_cell_length_c 4.8477
_cell_angle_alpha 90.00
_cell_angle_beta 90.00
_cell_angle_gamma 90.00
_space_group_name_H-M_alt 'P 4/m m m'
_space_group_IT_number 123
_space_group_name_Hall '-P 4 2'
loop_
_atom_site_label
_atom_site_fract_x
_atom_site_fract_y
_atom_site_fract_z
Na1 0.0000 0.0000 0.0000
Si1 0.5000 0.5000 0.5000
Se1 0.5000 0.5000 0.0000
Br1 0.0000 0.5000 0.5000
```

Output
**M_tot**: 0.00 μB per formula unit
**E above lowest polymorph**: 0.0 kJ/mol of atoms
**Volume**: 27.47 Å³/atom

CaOs2W | PBE | optimized geometry

Geometry as CIF:
```
data_CaOs2W
_chemical_formula_sum 'Ca2 Os4 W2'
_cell_length_a 3.1449
_cell_length_b 4.6489
_cell_length_c 9.2405
_cell_angle_alpha 90.00
_cell_angle_beta 90.00
_cell_angle_gamma 90.00
_space_group_name_H-M_alt 'C m m m'
_space_group_IT_number 65
_space_group_name_Hall '-C 2 2'
loop_
_atom_site_label
_atom_site_fract_x
_atom_site_fract_y
_atom_site_fract_z
Ca1 0.0000 0.0000 0.0000
Os1 0.0000 0.5000 0.2712
W1 0.0000 0.0000 0.5000
```

Output
**M_tot**: 0.00 μB per formula unit
**E above lowest polymorph**: 26.3 kJ/mol of atoms
**Volume**: 16.89 Å³/atom

Ca4PrPb15 | PBE | optimized geometry

Geometry as CIF:
```
data_Ca4PrPb15
_chemical_formula_sum 'Ca4 Pr1 Pb15'
_cell_length_a 4.9292
_cell_length_b 4.9292
_cell_length_c 24.8424
_cell_angle_alpha 90.00
_cell_angle_beta 90.00
_cell_angle_gamma 90.00
_space_group_name_H-M_alt 'P 4/m m m'
_space_group_IT_number 123
_space_group_name_Hall '-P 4 2'
loop_
_atom_site_label
_atom_site_fract_x
_atom_site_fract_y
_atom_site_fract_z
Ca1 0.0000 0.0000 0.1000
Ca2 0.0000 0.0000 0.3002
Pr1 0.0000 0.0000 0.5000
Pb1 0.0000 0.5000 0.0000
Pb2 0.0000 0.5000 0.1997
Pb3 0.0000 0.5000 0.3986
Pb4 0.5000 0.5000 0.1003
Pb5 0.5000 0.5000 0.2998
Pb6 0.5000 0.5000 0.5000
```

Output
**M_tot**: 0.00 μB per formula unit
**Volume**: 30.18 Å³/atom
**Final energy**: -75.04 eV/cell

Dy6Ho4Er19 | PBE | optimized geometry

Geometry as CIF:
```
data_Dy6Ho4Er19
_chemical_formula_sum 'Dy12 Ho8 Er38'
_cell_length_a 12.3039
_cell_length_b 12.3039
_cell_length_c 12.3039
_cell_angle_alpha 90.00
_cell_angle_beta 90.00
_cell_angle_gamma 90.00
_space_group_name_H-M_alt 'I 2 3'
_space_group_IT_number 197
_space_group_name_Hall 'I 2 2 3'
loop_
_atom_site_label
_atom_site_fract_x
_atom_site_fract_y
_atom_site_fract_z
Dy1 0.0000 0.3721 0.5000
Ho1 0.1787 0.1787 0.8213
Er1 0.0000 0.0000 0.0000
Er2 0.0000 0.0000 0.2607
Er3 0.0635 0.2609 0.2771
```

Output
**M_tot**: 0.00 μB per formula unit
**Volume**: 32.11 Å³/atom
**Final energy**: -242.59 eV/cell

CdH6Pt4 | PBE | optimized geometry

Geometry as CIF:
```
data_CdH6Pt4
_chemical_formula_sum 'Cd1 H6 Pt4'
_cell_length_a 3.9430
_cell_length_b 5.3524
_cell_length_c 6.0559
_cell_angle_alpha 74.93
_cell_angle_beta 80.82
_cell_angle_gamma 70.38
_space_group_name_H-M_alt 'P 1'
_space_group_IT_number 1
_space_group_name_Hall 'P 1'
loop_
_atom_site_label
_atom_site_fract_x
_atom_site_fract_y
_atom_site_fract_z
Cd1 0.0000 0.0000 0.0000
H1 0.0239 0.2253 0.5024
H2 0.1799 0.5931 0.5370
H3 0.1815 0.5158 0.9837
H4 0.5072 0.8924 0.3883
H5 0.6279 0.9133 0.7642
H6 0.6400 0.4706 0.7271
Pt1 0.3170 0.2587 0.2249
Pt2 0.6286 0.5269 0.4384
Pt3 0.6895 0.5988 0.9561
Pt4 0.9052 0.9320 0.5018
```

Output
**M_tot**: 0.00 μB per formula unit
**Volume**: 10.53 Å³/atom
**Final energy**: -44.98 eV/cell

Ag2PtAu | PBE | optimized geometry

Geometry as CIF:
```
data_Ag2PtAu
_chemical_formula_sum 'Ag4 Pt2 Au2'
_cell_length_a 3.0254
_cell_length_b 4.7632
_cell_length_c 9.6053
_cell_angle_alpha 90.00
_cell_angle_beta 90.00
_cell_angle_gamma 90.00
_space_group_name_H-M_alt 'I m m m'
_space_group_IT_number 71
_space_group_name_Hall '-I 2 2'
loop_
_atom_site_label
_atom_site_fract_x
_atom_site_fract_y
_atom_site_fract_z
Ag1 0.0000 0.0000 0.2476
Pt1 0.0000 0.5000 0.5000
Au1 0.0000 0.5000 0.0000
```

Output
**M_tot**: 0.00 μB per formula unit
**E above lowest polymorph**: 3.2 kJ/mol of atoms
**Volume**: 17.30 Å³/atom

BeGaPCl2 | PBE | optimized geometry

Geometry as CIF:
```
data_BeGaPCl2
_chemical_formula_sum 'Be1 Ga1 P1 Cl2'
_cell_length_a 4.3055
_cell_length_b 4.3055
_cell_length_c 5.0591
_cell_angle_alpha 90.00
_cell_angle_beta 90.00
_cell_angle_gamma 90.00
_space_group_name_H-M_alt 'P 4/m m m'
_space_group_IT_number 123
_space_group_name_Hall '-P 4 2'
loop_
_atom_site_label
_atom_site_fract_x
_atom_site_fract_y
_atom_site_fract_z
Be1 0.0000 0.0000 0.0000
Ga1 0.5000 0.5000 0.5000
P1 0.0000 0.0000 0.5000
Cl1 0.0000 0.5000 0.0000
```

Output
**M_tot**: 0.00 μB per formula unit
**E above lowest polymorph**: 0.0 kJ/mol of atoms
**Volume**: 18.76 Å³/atom

LiAgS2Cl | PBE | optimized geometry

Geometry as CIF:
```
data_LiAgS2Cl
_chemical_formula_sum 'Li1 Ag1 S2 Cl1'
_cell_length_a 4.1224
_cell_length_b 4.1224
_cell_length_c 6.7284
_cell_angle_alpha 90.00
_cell_angle_beta 90.00
_cell_angle_gamma 90.00
_space_group_name_H-M_alt 'P 4/m m m'
_space_group_IT_number 123
_space_group_name_Hall '-P 4 2'
loop_
_atom_site_label
_atom_site_fract_x
_atom_site_fract_y
_atom_site_fract_z
Li1 0.0000 0.0000 0.0000
Ag1 0.5000 0.5000 0.5000
S1 0.0000 0.5000 0.0000
Cl1 0.0000 0.0000 0.5000
```

Output
**M_tot**: 0.00 μB per formula unit
**E above lowest polymorph**: 11.2 kJ/mol of atoms
**Volume**: 22.87 Å³/atom

Tl2OsAu | PBE | optimized geometry

Geometry as CIF:
```
data_Tl2OsAu
_chemical_formula_sum 'Tl6 Os3 Au3'
_cell_length_a 3.1594
_cell_length_b 3.1594
_cell_length_c 28.3543
_cell_angle_alpha 90.00
_cell_angle_beta 90.00
_cell_angle_gamma 120.00
_space_group_name_H-M_alt 'R -3 m'
_space_group_IT_number 166
_space_group_name_Hall '-R 3 2"'
loop_
_atom_site_label
_atom_site_fract_x
_atom_site_fract_y
_atom_site_fract_z
Tl1 0.0000 0.0000 0.2449
Os1 0.0000 0.0000 0.5000
Au1 0.0000 0.0000 0.0000
```

Output
**M_tot**: 0.00 μB per formula unit
**E above lowest polymorph**: 14.2 kJ/mol of atoms
**Volume**: 20.43 Å³/atom

LaPr2FeN4 | PBE | optimized geometry

Geometry as CIF:
```
data_LaPr2FeN4
_chemical_formula_sum 'La4 Pr8 Fe4 N16'
_cell_length_a 3.5216
_cell_length_b 12.0900
_cell_length_c 12.1803
_cell_angle_alpha 90.00
_cell_angle_beta 90.00
_cell_angle_gamma 90.00
_space_group_name_H-M_alt 'C m c m'
_space_group_IT_number 63
_space_group_name_Hall '-C 2c 2'
loop_
_atom_site_label
_atom_site_fract_x
_atom_site_fract_y
_atom_site_fract_z
La1 0.0000 0.1224 0.2500
Pr1 0.0000 0.3676 0.0440
Fe1 0.0000 0.1650 0.7500
N1 0.0000 0.0000 0.0000
N2 0.0000 0.2722 0.6365
N3 0.0000 0.3920 0.2500
```

Output
**M_tot**: 0.00 μB per formula unit
**Volume**: 16.21 Å³/atom
**Final energy**: -253.67 eV/cell